HfZr2Sb3: relaxed, PBE.

Spin magnetization: 0.00 μB per formula unit
Crystal system: orthorhombic
Electronic total energy: -0.260 Ha/atom
DOS at the Fermi energy: 10.05 states/eV/cell
Mass density: 8252 kg/m3

Cell: 3.8825 10.8317 6.9500 Å, 90.00 90.00 90.00°
Fractional coordinates of all 12 atoms:
Hf1 0.0000 0.1176 0.0000
Hf2 0.0000 0.8824 0.5000
Zr1 0.0000 0.1888 0.4594
Zr2 0.0000 0.8112 0.9594
Zr3 0.5000 0.4651 0.4806
Zr4 0.5000 0.5349 0.9806
Sb1 0.0000 0.3715 0.7738
Sb2 0.0000 0.6285 0.2738
Sb3 0.5000 0.0465 0.7024
Sb4 0.5000 0.2881 0.1745
Sb5 0.5000 0.7119 0.6745
Sb6 0.5000 0.9535 0.2024